# 1
Compound: CuSi2Mo
Source: Alexandria
Functional: SCAN
Structure: single point on PBEsol structure

Cell: 4.443 4.443 4.854 Å, 104.02 104.02 35.01°
Fractional coordinates of all 4 atoms:
Cu 0.000 0.000 0.000
Si 0.256 0.256 0.745
Si 0.744 0.744 0.255
Mo 0.500 0.500 0.500

Properties
Formation energy (no corrections) in kJ per mole of atoms: 10.4



# 2
Compound: CuSiTe2Mo
Source: Alexandria
Functional: SCAN
Structure: single point on PBEsol structure

Cell: 5.142 5.142 4.597 Å, 90.00 90.00 90.00°
Fractional coordinates of all 5 atoms:
Cu 0.000 0.000 0.000
Si 0.500 0.500 0.500
Te 0.000 0.500 0.500
Te 0.500 0.000 0.500
Mo 0.500 0.500 0.000

Properties
Formation energy (no corrections) in kJ per mole of atoms: 122.3



# 3
Compound: SrCuMo3
Source: Alexandria
Functional: SCAN
Structure: single point on PBEsol structure

Cell: 4.659 4.659 4.659 Å, 90.00 90.00 90.00°
Fractional coordinates of all 5 atoms:
Sr 0.000 0.000 0.000
Cu 0.500 0.500 0.500
Mo 0.000 0.500 0.500
Mo 0.500 0.000 0.500
Mo 0.500 0.500 0.000

Properties
DFT formation energy in eV per atom: 1.726



# 4
Compound: SrCuMo
Source: Alexandria
Functional: SCAN
Structure: single point on PBEsol structure

Cell: 4.667 4.667 4.667 Å, 60.00 60.00 60.00°
Fractional coordinates of all 3 atoms:
Sr 0.000 0.000 0.000
Cu 0.250 0.250 0.250
Mo 0.500 0.500 0.500

Properties
DFT formation energy in eV per atom: 1.103



# 5
Compound: TaCuMo
Source: Alexandria
Functional: SCAN
Structure: single point on PBEsol structure

Cell: 6.514 6.514 6.514 Å, 156.32 156.32 33.73°
Fractional coordinates of all 3 atoms:
Ta 0.000 0.000 0.000
Cu 0.660 0.660 0.000
Mo 0.314 0.314 0.000

Properties
DFT formation energy in eV per atom: 0.139



# 6
Compound: Ta2CuMo
Source: Alexandria
Functional: SCAN
Structure: single point on PBEsol structure

Cell: 3.235 3.235 5.938 Å, 90.00 90.00 90.00°
Fractional coordinates of all 4 atoms:
Ta 0.000 0.000 0.248
Ta 0.000 0.000 0.752
Cu 0.500 0.500 0.000
Mo 0.500 0.500 0.500

Properties
DFT formation energy in eV per atom: -0.042



# 7
Compound: Ta2CuMo
Source: Alexandria
Functional: SCAN
Structure: single point on PBEsol structure

Cell: 3.261 3.261 5.835 Å, 90.00 90.00 90.00°
Fractional coordinates of all 4 atoms:
Ta 0.000 0.000 0.000
Ta 0.500 0.500 0.281
Cu 0.000 0.000 0.514
Mo 0.500 0.500 0.752

Properties
DFT formation energy in eV per atom: 0.091



# 8
Compound: TaCuMo
Source: Alexandria
Functional: SCAN
Structure: single point on PBEsol structure

Cell: 4.240 4.240 4.240 Å, 60.00 60.00 60.00°
Fractional coordinates of all 3 atoms:
Ta 0.000 0.000 0.000
Cu 0.500 0.500 0.500
Mo 0.250 0.250 0.250

Properties
DFT formation energy in eV per atom: 1.173



# 9
Compound: CuTcMo
Source: Alexandria
Functional: SCAN
Structure: single point on PBEsol structure

Cell: 4.108 4.108 4.108 Å, 60.00 60.00 60.00°
Fractional coordinates of all 3 atoms:
Cu 0.000 0.000 0.000
Tc 0.250 0.250 0.250
Mo 0.500 0.500 0.500

Properties
DFT formation energy in eV per atom: 0.791



# 10
Compound: CuTcMo
Source: Alexandria
Functional: SCAN
Structure: single point on PBEsol structure

Cell: 6.707 6.564 2.599 Å, 81.83 75.61 22.55°
Fractional coordinates of all 3 atoms:
Cu 0.000 0.000 0.000
Tc 0.664 0.664 0.336
Mo 0.334 0.334 0.666

Properties
DFT formation energy in eV per atom: 0.221



# 11
Compound: CuTcMo
Source: Alexandria
Functional: SCAN
Structure: single point on PBEsol structure

Cell: 6.384 6.384 6.384 Å, 156.61 156.61 33.32°
Fractional coordinates of all 3 atoms:
Cu 0.000 0.000 0.000
Tc 0.342 0.342 0.000
Mo 0.664 0.664 0.000

Properties
DFT formation energy in eV per atom: 0.307



# 12
Compound: Cu2TeMo
Source: Alexandria
Functional: SCAN
Structure: single point on PBEsol structure

Cell: 2.858 4.278 5.100 Å, 90.00 90.00 90.00°
Fractional coordinates of all 4 atoms:
Cu 0.000 0.000 0.000
Cu 0.000 0.500 0.211
Te 0.000 0.000 0.516
Mo 0.500 0.500 0.753

Properties
Formation energy (no corrections) in kJ per mole of atoms: 45.7